A relaxed LuCuAgAu crystal. Source: the Alexandria database, functional PBE.

Cell: 6.6800 6.6800 6.6800 Å, 90.00 90.00 90.00°
Space group F-43m (No. 216)
Asymmetric unit:
Lu (0.0000, 0.0000, 0.0000) (multiplicity 4)
Cu (0.2500, 0.2500, 0.7500) (multiplicity 4)
Ag (0.0000, 0.0000, 0.5000) (multiplicity 4)
Au (0.2500, 0.2500, 0.2500) (multiplicity 4)

Computed properties:
Calculated volume: 298 Å³/cell
D(E_F): 0.46 states/eV/atom
E_tot: -4.0545 eV/atom
ΔE_f: -35.51 kJ/mol of atoms
Magnetic moment: 0.00 μB per formula unit